Compound: ZnCoO2
Source: the Alexandria database
Functional: GGA+U
Structure: relaxed

Output
N(E_F) (states/eV per cell): 0.00
Calculated density (kg/m³): 5852
Calculated total energy (eV/cell): -80.9

Cell lengths 5.5504, 3.0721, 10.4066 Å; angles 90.00, 90.00, 90.00 degrees
Space group Pnma (No. 62)
Inequivalent atoms, fractional coordinates:
Zn 0.0864 0.2500 0.1171 [4 per cell]
Co 0.1108 0.7500 0.3825 [4 per cell]
O 0.0473 0.2500 0.7837 [4 per cell]
O 0.2323 0.2500 0.4976 [4 per cell]